(1)
# DyHf2Ga7 PBE optimized geometry
# energy of formation from the pure elements	-0.007	eV/atom
# density	7.4	g/cm3
# total magnetic moment	0.00	μB per formula unit
data_DyHf2Ga7
_cell_length_a 7.2301
_cell_length_b 13.4002
_cell_length_c 4.6622
_cell_angle_alpha 90.00
_cell_angle_beta 90.00
_cell_angle_gamma 90.00
_space_group_name_H-M_alt 'C m m m'
_space_group_IT_number 65
_space_group_name_Hall '-C 2 2'
loop_
_atom_site_label
_atom_site_type_symbol
_atom_site_fract_x
_atom_site_fract_y
_atom_site_fract_z
Dy1 Dy 0.0000 0.0000 0.0000
Hf1 Hf 0.0000 0.2769 0.5000
Ga1 Ga 0.0000 0.3928 0.0000
Ga2 Ga 0.0000 0.5000 0.5000
Ga3 Ga 0.1893 0.1021 0.5000

(2)
# Mg2Ag3Hg2 PBE optimized geometry
# energy of formation from the pure elements	-0.097	eV/atom
# energy relative to the lowest polymorph listed for this composition	0.0	meV/atom
# density	9.4	g/cm3
# total magnetic moment	0.00	μB per formula unit
data_Mg2Ag3Hg2
_cell_length_a 9.8105
_cell_length_b 4.1805
_cell_length_c 6.7117
_cell_angle_alpha 90.00
_cell_angle_beta 96.26
_cell_angle_gamma 90.00
_space_group_name_H-M_alt 'C 1 2/m 1'
_space_group_IT_number 12
loop_
_space_group_symop_operation_xyz
'x,y,z'
'-x,-y,-z'
'-x,y,-z'
'x,-y,z'
'x+1/2,y+1/2,z'
'-x+1/2,-y+1/2,-z'
'-x+1/2,y+1/2,-z'
'x+1/2,-y+1/2,z'
loop_
_atom_site_label
_atom_site_type_symbol
_atom_site_fract_x
_atom_site_fract_y
_atom_site_fract_z
Mg1 Mg 0.1397 0.0000 0.4098
Ag1 Ag 0.0000 0.0000 0.0000
Ag2 Ag 0.2138 0.5000 0.1464
Hg1 Hg 0.0785 0.5000 0.7164

(3)
# BaCeIn2Hg5 PBE optimized geometry
# energy of formation from the pure elements	-0.140	eV/atom
# density	9.0	g/cm3
# total magnetic moment	1.88	μB per formula unit
data_BaCeIn2Hg5
_cell_length_a 5.5177
_cell_length_b 5.5177
_cell_length_c 9.1022
_cell_angle_alpha 90.00
_cell_angle_beta 90.00
_cell_angle_gamma 90.00
_space_group_name_H-M_alt 'P 4/m m m'
_space_group_IT_number 123
_space_group_name_Hall '-P 4 2'
loop_
_atom_site_label
_atom_site_type_symbol
_atom_site_fract_x
_atom_site_fract_y
_atom_site_fract_z
Ba1 Ba 0.0000 0.0000 0.0000
Ce1 Ce 0.0000 0.0000 0.5000
In1 In 0.5000 0.5000 0.3441
Hg1 Hg 0.0000 0.5000 0.2644
Hg2 Hg 0.5000 0.5000 0.0000

(4)
# Rb2BaSnSb2 PBE optimized geometry
# density	4.5	g/cm3
# energy relative to the elements, uncorrected	-565	meV per atom
# total magnetic moment	0.00	μB per formula unit
data_Rb2BaSnSb2
_cell_length_a 4.7963
_cell_length_b 10.2693
_cell_length_c 10.0834
_cell_angle_alpha 90.00
_cell_angle_beta 90.00
_cell_angle_gamma 90.00
_space_group_name_H-M_alt 'P m c 21'
_space_group_IT_number 26
loop_
_space_group_symop_operation_xyz
'x,y,z'
'-x,-y,z+1/2'
'-x,y,z'
'x,-y,z+1/2'
loop_
_atom_site_label
_atom_site_type_symbol
_atom_site_fract_x
_atom_site_fract_y
_atom_site_fract_z
Rb1 Rb 0.0000 0.0866 0.0000
Rb2 Rb 0.5000 0.1965 0.3217
Ba1 Ba 0.5000 0.4382 0.8890
Sn1 Sn 0.0000 0.2893 0.5889
Sb1 Sb 0.0000 0.4362 0.1651
Sb2 Sb 0.5000 0.1498 0.7175

(5)
# Ba2CaPt PBE optimized geometry
# energy of formation from the pure elements	-0.385	eV/atom
# energy relative to the lowest polymorph listed for this composition	148.7	meV/atom
# density	5.4	g/cm3
# total magnetic moment	0.00	μB per formula unit
data_Ba2CaPt
_cell_length_a 5.4631
_cell_length_b 5.4772
_cell_length_c 10.5346
_cell_angle_alpha 90.00
_cell_angle_beta 90.00
_cell_angle_gamma 90.00
_space_group_name_H-M_alt 'C m m 2'
_space_group_IT_number 35
loop_
_space_group_symop_operation_xyz
'x,y,z'
'-x,-y,z'
'-x,y,z'
'x,-y,z'
'x+1/2,y+1/2,z'
'-x+1/2,-y+1/2,z'
'-x+1/2,y+1/2,z'
'x+1/2,-y+1/2,z'
loop_
_atom_site_label
_atom_site_type_symbol
_atom_site_fract_x
_atom_site_fract_y
_atom_site_fract_z
Ba1 Ba 0.0000 0.0000 0.0000
Ba2 Ba 0.0000 0.5000 0.3648
Ca1 Ca 0.0000 0.5000 0.6883
Pt1 Pt 0.0000 0.0000 0.5501

(6)
# Y2PuNi PBE optimized geometry
# energy of formation from the pure elements	0.201	eV/atom
# energy relative to the lowest polymorph listed for this composition	283.7	meV/atom
# density	7.2	g/cm3
# total magnetic moment	6.35	μB per formula unit
data_Y2PuNi
_cell_length_a 3.5251
_cell_length_b 3.5251
_cell_length_c 31.0971
_cell_angle_alpha 90.00
_cell_angle_beta 90.00
_cell_angle_gamma 120.00
_space_group_name_H-M_alt 'R -3 m'
_space_group_IT_number 166
_space_group_name_Hall '-R 3 2"'
loop_
_atom_site_label
_atom_site_type_symbol
_atom_site_fract_x
_atom_site_fract_y
_atom_site_fract_z
Y1 Y 0.0000 0.0000 0.1087
Pu1 Pu 0.0000 0.0000 0.0000
Ni1 Ni 0.0000 0.0000 0.5000

(7)
# Y3Sb2Te PBE optimized geometry
# density	5.9	g/cm3
# energy relative to the elements, uncorrected	-1263	meV per atom
# total magnetic moment	0.00	μB per formula unit
data_Y3Sb2Te
_cell_length_a 4.3894
_cell_length_b 6.2029
_cell_length_c 13.1258
_cell_angle_alpha 90.00
_cell_angle_beta 90.00
_cell_angle_gamma 90.00
_space_group_name_H-M_alt 'I m m m'
_space_group_IT_number 71
_space_group_name_Hall '-I 2 2'
loop_
_atom_site_label
_atom_site_type_symbol
_atom_site_fract_x
_atom_site_fract_y
_atom_site_fract_z
Y1 Y 0.0000 0.0000 0.0000
Y2 Y 0.0000 0.0000 0.3275
Sb1 Sb 0.0000 0.5000 0.3351
Te1 Te 0.0000 0.5000 0.0000

(8)
# CaAcGa4 PBE optimized geometry
# energy of formation from the pure elements	-0.434	eV/atom
# energy relative to the lowest polymorph listed for this composition	116.2	meV/atom
# density	6.7	g/cm3
# total magnetic moment	0.00	μB per formula unit
data_CaAcGa4
_cell_length_a 8.1643
_cell_length_b 8.1643
_cell_length_c 8.1643
_cell_angle_alpha 90.00
_cell_angle_beta 90.00
_cell_angle_gamma 90.00
_space_group_name_H-M_alt 'F -4 3 m'
_space_group_IT_number 216
_space_group_name_Hall 'F -4 2 3'
loop_
_atom_site_label
_atom_site_type_symbol
_atom_site_fract_x
_atom_site_fract_y
_atom_site_fract_z
Ca1 Ca 0.0000 0.0000 0.0000
Ac1 Ac 0.2500 0.2500 0.7500
Ga1 Ga 0.1250 0.1250 0.3750

(9)
# TaAlCd2 PBE optimized geometry
# energy of formation from the pure elements	0.158	eV/atom
# density	9.7	g/cm3
# total magnetic moment	0.00	μB per formula unit
data_TaAlCd2
_cell_length_a 4.1110
_cell_length_b 4.1110
_cell_length_c 4.3883
_cell_angle_alpha 90.00
_cell_angle_beta 90.00
_cell_angle_gamma 90.00
_space_group_name_H-M_alt 'P 4/m m m'
_space_group_IT_number 123
_space_group_name_Hall '-P 4 2'
loop_
_atom_site_label
_atom_site_type_symbol
_atom_site_fract_x
_atom_site_fract_y
_atom_site_fract_z
Ta1 Ta 0.0000 0.0000 0.0000
Al1 Al 0.5000 0.5000 0.0000
Cd1 Cd 0.0000 0.5000 0.5000

(10)
# LiOsRh2 PBE optimized geometry
# energy of formation from the pure elements	0.081	eV/atom
# energy relative to the lowest polymorph listed for this composition	95.4	meV/atom
# density	12.3	g/cm3
# total magnetic moment	0.71	μB per formula unit
data_LiOsRh2
_cell_length_a 3.8719
_cell_length_b 3.8719
_cell_length_c 7.2336
_cell_angle_alpha 90.00
_cell_angle_beta 90.00
_cell_angle_gamma 90.00
_space_group_name_H-M_alt 'I 4/m m m'
_space_group_IT_number 139
_space_group_name_Hall '-I 4 2'
loop_
_atom_site_label
_atom_site_type_symbol
_atom_site_fract_x
_atom_site_fract_y
_atom_site_fract_z
Li1 Li 0.0000 0.0000 0.0000
Os1 Os 0.0000 0.0000 0.5000
Rh1 Rh 0.0000 0.5000 0.2500

(11)
# InSbSeN2 PBE optimized geometry
# energy relative to the lowest polymorph listed for this composition	0.0	meV/atom
# density	6.0	g/cm3
# energy relative to the elements, uncorrected	963	meV per atom
# total magnetic moment	0.52	μB per formula unit
data_InSbSeN2
_cell_length_a 4.0782
_cell_length_b 4.0782
_cell_length_c 5.6968
_cell_angle_alpha 90.00
_cell_angle_beta 90.00
_cell_angle_gamma 90.00
_space_group_name_H-M_alt 'P 4/m m m'
_space_group_IT_number 123
_space_group_name_Hall '-P 4 2'
loop_
_atom_site_label
_atom_site_type_symbol
_atom_site_fract_x
_atom_site_fract_y
_atom_site_fract_z
In1 In 0.0000 0.0000 0.0000
Sb1 Sb 0.5000 0.5000 0.5000
Se1 Se 0.5000 0.5000 0.0000
N1 N 0.0000 0.5000 0.5000

(12)
# LiSn5Au6 PBE optimized geometry
# energy of formation from the pure elements	-0.184	eV/atom
# density	10.9	g/cm3
# total magnetic moment	0.00	μB per formula unit
data_LiSn5Au6
_cell_length_a 6.5931
_cell_length_b 6.8759
_cell_length_c 7.2116
_cell_angle_alpha 65.45
_cell_angle_beta 84.73
_cell_angle_gamma 66.37
_space_group_name_H-M_alt 'P -1'
_space_group_IT_number 2
loop_
_space_group_symop_operation_xyz
'x,y,z'
'-x,-y,-z'
loop_
_atom_site_label
_atom_site_type_symbol
_atom_site_fract_x
_atom_site_fract_y
_atom_site_fract_z
Li1 Li 0.0000 0.0000 0.0000
Sn1 Sn 0.0266 0.7091 0.6169
Sn2 Sn 0.4865 0.8436 0.2540
Sn3 Sn 0.5000 0.5000 0.0000
Au1 Au 0.1773 0.2929 0.0012
Au2 Au 0.2470 0.5579 0.3222
Au3 Au 0.3348 0.9005 0.6324